First-principles (PBE) data for a relaxed ErZn2In crystal, as listed in the Alexandria database.

Values from the calculation:
Fermi-level density of states: 0.707 states/eV/atom
ρ: 7.72 g/cm³
Calculated total energy: -0.09328 Ha/atom
Formation energy from the elements: -0.08 eV per atom

Unit cell a=4.456 b=5.451 c=7.311 alpha=90.00 beta=90.00 gamma=90.00
Space group Amm2 (No. 38)
Inequivalent atoms, fractional coordinates:
Er 0.000 0.000 0.000 [2 per cell]
Zn 0.000 0.000 0.415 [2 per cell]
Zn 0.500 0.000 0.272 [2 per cell]
In 0.500 0.000 0.662 [2 per cell]